VASP calculation (PBE-GGA) on crystalline LaPrNdSc at its relaxed geometry.

```
LaPrNdSc
1.0
5.725 0.000 0.000
2.863 4.958 0.000
2.863 1.653 4.675
Nd Pr La Sc
1 1 1 1
Direct
0.500 0.500 0.500
0.750 0.750 0.750
0.250 0.250 0.250
0.000 0.000 0.000
```

Properties
DFT total energy   -0.37340 Ry per atom
Magnetization   0.000 μB/atom
Calculated density   5.9 g cm⁻³
Formation enthalpy at 0 K   0.12 eV/atom